Here is BaNaCuBrO2 at its PBEsol-relaxed geometry from Alexandria. Energies are from SCAN.

ΔE_f (raw) in eV/atom: -1.7431

Unit cell a=3.923 b=3.923 c=7.160 alpha=90.00 beta=90.00 gamma=90.00
Atoms (fractional coordinates):
Ba  0.000  0.000  0.000
Na  0.000  0.000  0.560
Cu  0.500  0.500  0.742
Br  0.500  0.500  0.283
O  0.000  0.500  0.761
O  0.500  0.000  0.761